Crystalline La8As4PCl3 at its relaxed geometry. Source: Alexandria via LeMat-Bulk, functional PBE.

* V: 450.1 Å³/cell
* Fermi-level density of states: 0.63 states/eV per atom
* crystal system: trigonal
* VASP energy: -95.61 eV for the cell shown

Lattice parameters (Å, degrees): 8.5609 8.5609 8.5609 60.64 60.64 60.64
Element x y z (fractional)
La: 0.2357 0.7544 0.7544
La: 0.2442 0.2442 0.2442
La: 0.2456 0.2456 0.7643
La: 0.2456 0.7643 0.2456
La: 0.7544 0.2357 0.7544
La: 0.7544 0.7544 0.2357
La: 0.7558 0.7558 0.7558
La: 0.7643 0.2456 0.2456
As: 0.0000 0.0000 0.5000
As: 0.0000 0.5000 0.0000
As: 0.5000 0.0000 0.0000
As: 0.5000 0.5000 0.5000
P: 0.0000 0.0000 0.0000
Cl: 0.0000 0.5000 0.5000
Cl: 0.5000 0.0000 0.5000
Cl: 0.5000 0.5000 0.0000


Crystalline Hf2Zr2Be4Ir at its relaxed geometry. Source: Alexandria via LeMat-Bulk, functional PBE.

* V: 148.5 Å³/cell
* Fermi-level density of states: 0.78 states/eV per atom
* crystal system: tetragonal
* E_form: 10 kJ per mole of atoms

Lattice parameters (Å, degrees): 5.9371 5.9371 5.9371 119.77 119.77 90.39
Element x y z (fractional)
Hf: 0.2500 0.7500 0.5000
Hf: 0.7500 0.2500 0.5000
Zr: 0.2007 0.2007 0.0000
Zr: 0.7993 0.7993 0.0000
Be: 0.2373 0.2373 0.4746
Be: 0.2373 0.7627 0.0000
Be: 0.7627 0.2373 0.0000
Be: 0.7627 0.7627 0.5254
Ir: 0.5000 0.5000 0.0000


Crystalline K2BaSr at its relaxed geometry. Source: Alexandria via LeMat-Bulk, functional PBE.

* V: 259.9 Å³/cell
* Fermi-level density of states: 1.22 states/eV per atom
* crystal system: monoclinic
* E_form: 9 kJ per mole of atoms

Lattice parameters (Å, degrees): 4.4405 4.4405 15.4364 98.31 98.31 60.02
Element x y z (fractional)
K: 0.0000 0.0000 0.0000
K: 0.1692 0.1692 0.5076
Ba: 0.7513 0.7513 0.2539
Sr: 0.5847 0.5847 0.7541


Crystalline Sr3Th3UN8 at its relaxed geometry. Source: Alexandria via LeMat-Bulk, functional PBE.

* V: 283.2 Å³/cell
* crystal system: trigonal
* VASP energy: -125.13 eV for the cell shown

Lattice parameters (Å, degrees): 7.4005 7.4005 7.4005 59.47 59.47 59.47
Element x y z (fractional)
Sr: 0.0000 0.5000 0.5000
Sr: 0.5000 0.0000 0.5000
Sr: 0.5000 0.5000 0.0000
Th: 0.0000 0.0000 0.5000
Th: 0.0000 0.5000 0.0000
Th: 0.5000 0.0000 0.0000
U: 0.5000 0.5000 0.5000
N: 0.2376 0.2376 0.2376
N: 0.2604 0.7120 0.7120
N: 0.2880 0.2880 0.7396
N: 0.2880 0.7396 0.2880
N: 0.7120 0.2604 0.7120
N: 0.7120 0.7120 0.2604
N: 0.7396 0.2880 0.2880
N: 0.7624 0.7624 0.7624


Crystalline TmCdRhPb at its relaxed geometry. Source: Alexandria via LeMat-Bulk, functional PBE.

* V: 86.3 Å³/cell
* Fermi-level density of states: 0.71 states/eV per atom
* crystal system: cubic
* E_form: -25 kJ per mole of atoms

Lattice parameters (Å, degrees): 4.9607 4.9607 4.9607 60.00 60.00 60.00
Element x y z (fractional)
Tm: 0.0000 0.0000 0.0000
Cd: 0.2500 0.2500 0.2500
Rh: 0.7500 0.7500 0.7500
Pb: 0.5000 0.5000 0.5000


Crystalline Nd2Y3Hg4 at its relaxed geometry. Source: Alexandria via LeMat-Bulk, functional PBE.

* V: 518.5 Å³/cell
* Fermi-level density of states: 0.94 states/eV per atom
* crystal system: orthorhombic
* E_form: -35 kJ per mole of atoms

Lattice parameters (Å, degrees): 9.6422 9.6422 8.1885 90.00 90.00 137.07
Element x y z (fractional)
Nd: 0.0953 0.9047 0.9120
Nd: 0.4047 0.5953 0.4120
Nd: 0.5953 0.4047 0.5880
Nd: 0.9047 0.0953 0.0880
Y: 0.0000 0.0000 0.5000
Y: 0.0110 0.4890 0.7500
Y: 0.4890 0.0110 0.2500
Y: 0.5000 0.5000 0.0000
Y: 0.5110 0.9890 0.7500
Y: 0.9890 0.5110 0.2500
Hg: 0.1681 0.8319 0.5282
Hg: 0.1841 0.3159 0.7500
Hg: 0.3159 0.1841 0.2500
Hg: 0.3319 0.6681 0.0282
Hg: 0.6681 0.3319 0.9718
Hg: 0.6841 0.8159 0.7500
Hg: 0.8159 0.6841 0.2500
Hg: 0.8319 0.1681 0.4718


Crystalline ScReAs2 at its relaxed geometry. Source: Alexandria via LeMat-Bulk, functional PBE.

* V: 74.7 Å³/cell
* Fermi-level density of states: 0.62 states/eV per atom
* crystal system: trigonal
* E_form: -4 kJ per mole of atoms

Lattice parameters (Å, degrees): 8.8901 8.8901 8.8901 20.39 20.39 20.39
Element x y z (fractional)
Sc: 0.0000 0.0000 0.0000
Re: 0.2500 0.2500 0.2500
As: 0.5169 0.5169 0.5169
As: 0.7509 0.7509 0.7509


Crystalline BaTePt2 at its relaxed geometry. Source: Alexandria via LeMat-Bulk, functional PBE.

* V: 110.2 Å³/cell
* Fermi-level density of states: 0.11 states/eV per atom
* crystal system: orthorhombic
* VASP energy: -19.06 eV for the cell shown

Lattice parameters (Å, degrees): 5.9607 5.9607 5.9607 141.42 121.69 72.12
Element x y z (fractional)
Ba: 0.0000 0.0000 0.0000
Te: 0.3030 0.8030 0.5000
Pt: 0.4855 0.4855 0.0000
Pt: 0.6625 0.1625 0.5000


Crystalline Cs2InSb at its relaxed geometry. Source: Alexandria via LeMat-Bulk, functional PBE.

* V: 202.5 Å³/cell
* Fermi-level density of states: 0.05 states/eV per atom
* crystal system: orthorhombic
* VASP energy: -9.92 eV for the cell shown

Lattice parameters (Å, degrees): 4.6992 7.8437 7.8437 44.46 90.00 90.00
Element x y z (fractional)
Cs: 0.0000 0.0000 0.0000
Cs: 0.5000 0.2976 0.2976
In: 0.5000 0.5924 0.5924
Sb: 0.0000 0.7154 0.7154


Crystalline ZrScIn at its relaxed geometry. Source: Alexandria via LeMat-Bulk, functional PBE.

* V: 80.0 Å³/cell
* Fermi-level density of states: 1.51 states/eV per atom
* crystal system: cubic
* E_form: 14 kJ per mole of atoms

Lattice parameters (Å, degrees): 4.8368 4.8368 4.8368 60.00 60.00 60.00
Element x y z (fractional)
Zr: 0.0000 0.0000 0.0000
Sc: 0.5000 0.5000 0.5000
In: 0.7500 0.7500 0.7500


Crystalline TaPtRh at its relaxed geometry. Source: Alexandria via LeMat-Bulk, functional PBE.

* V: 47.6 Å³/cell
* Fermi-level density of states: 0.69 states/eV per atom
* crystal system: tetragonal
* E_form: -49 kJ per mole of atoms

Lattice parameters (Å, degrees): 6.1773 6.1773 6.1773 153.26 153.26 38.18
Element x y z (fractional)
Ta: 0.0000 0.0000 0.0000
Pt: 0.6669 0.6669 0.0000
Rh: 0.3427 0.3427 0.0000


Crystalline HfZr4Cd at its relaxed geometry. Source: Alexandria via LeMat-Bulk, functional PBE.

* V: 273.5 Å³/cell
* Fermi-level density of states: 1.42 states/eV per atom
* crystal system: monoclinic
* E_form: 2 kJ per mole of atoms

Lattice parameters (Å, degrees): 5.5508 6.3847 7.7182 90.00 91.23 90.00
Element x y z (fractional)
Hf: 0.1667 0.2500 0.3298
Hf: 0.8333 0.7500 0.6702
Zr: 0.1544 0.7500 0.3337
Zr: 0.3367 0.5009 0.6565
Zr: 0.3367 0.9991 0.6565
Zr: 0.4984 0.2500 0.9980
Zr: 0.5016 0.7500 0.0020
Zr: 0.6633 0.0009 0.3435
Zr: 0.6633 0.4991 0.3435
Zr: 0.8456 0.2500 0.6663
Cd: 0.0000 0.0000 0.0000
Cd: 0.0000 0.5000 0.0000